A plane-wave DFT calculation with PBE was carried out for a relaxed structure of Er2Zn3Ag.

Summary:
The value obtained for the formation energy is -0.349 eV/atom. The volume comes out at 20.303 A^3/atom.

Cell: 6.861 9.029 15.731 Å, 90.00 90.00 90.00°
Space group Fmmm (No. 69)
Symmetry-distinct sites (fractional):
Er: 0.248 0.000 0.000 x8
Er: 0.250 0.250 0.250 x8
Zn: 0.000 0.000 0.337 x8
Zn: 0.000 0.246 0.418 x16
Ag: 0.000 0.000 0.167 x8

***

A plane-wave DFT calculation with PBE was carried out for a relaxed structure of Er3Zn2Ag2.

Summary:
The value obtained for the formation energy is -0.278 eV/atom. The volume comes out at 22.185 A^3/atom.

Cell: 3.998 21.929 3.543 Å, 90.00 90.00 90.00°
Space group Cmmm (No. 65)
Symmetry-distinct sites (fractional):
Er: 0.000 0.000 0.000 x2
Er: 0.000 0.159 0.000 x4
Zn: 0.000 0.282 0.500 x4
Ag: 0.000 0.419 0.500 x4

***

A plane-wave DFT calculation with PBE was carried out for a relaxed structure of ErZn2Ag6.

Summary:
The value obtained for the formation energy is -0.072 eV/atom. The volume comes out at 18.748 A^3/atom.

Cell: 10.564 9.801 7.730 Å, 90.00 122.51 90.00°
Space group C2/c (No. 15)
Symmetry-distinct sites (fractional):
Er: 0.000 0.108 0.250 x4
Zn: 0.087 0.375 0.034 x8
Ag: 0.111 0.164 0.688 x8
Ag: 0.158 0.374 0.443 x8
Ag: 0.212 0.105 0.107 x8

***

A plane-wave DFT calculation with PBE was carried out for a relaxed structure of Er2Zn16Ag.

Summary:
The value obtained for the formation energy is -0.219 eV/atom. The volume comes out at 16.119 A^3/atom.

Cell: 8.9719 8.9719 13.1801 Å, 90.00 90.00 120.00°
Space group R3m (No. 160, hexagonal axes)
Symmetry-distinct sites (fractional):
Er: 0.0000 0.0000 0.0000 x3
Er: 0.0000 0.0000 0.3257 x3
Zn: 0.0000 0.0000 0.7697 x3
Zn: 0.9998 0.2984 0.6626 x18
Zn: 0.0098 0.5049 0.8145 x9
Zn: 0.1680 0.3359 0.4961 x9
Zn: 0.1727 0.3455 0.8443 x9
Ag: 0.0000 0.0000 0.5639 x3